Entry from Alexandria: Hf9BW4 at its PBEsol-relaxed geometry (meta-GGA SCAN).

The calculated formation energy comes out at -0.160 eV/atom. The value obtained for the density of states at the Fermi level is 0.64 states/eV per atom.

Structure (CIF):
```
data_Hf9BW4
_cell_length_a 8.4685
_cell_length_b 8.4685
_cell_length_c 8.4564
_cell_angle_alpha 90.00
_cell_angle_beta 90.00
_cell_angle_gamma 120.00
_symmetry_space_group_name_H-M 'P 63/m m c'
_symmetry_Int_Tables_number 194
_symmetry_space_group_name_Hall '-P 6c 2c'
loop_
_atom_site_label
_atom_site_fract_x
_atom_site_fract_y
_atom_site_fract_z
_atom_site_occupancy
Hf1 0.0797 0.5398 0.2500 1
Hf2 0.2032 0.4063 0.5558 1
B1 0.3333 0.6667 0.7500 1
W1 0.0000 0.0000 0.0000 1
W2 0.1113 0.2226 0.2500 1
```


Entry from Alexandria: Hg3BI at its PBEsol-relaxed geometry (meta-GGA SCAN).

Its uncorrected formation energy is 1.532 eV/atom. The value obtained for the density of states at the Fermi level is 1.19 states/eV per atom.

Structure (CIF):
```
data_Hg3BI
_cell_length_a 6.1628
_cell_length_b 6.1628
_cell_length_c 6.1628
_cell_angle_alpha 90.00
_cell_angle_beta 90.00
_cell_angle_gamma 90.00
_symmetry_space_group_name_H-M 'P m -3 m'
_symmetry_Int_Tables_number 221
_symmetry_space_group_name_Hall '-P 4 2 3'
loop_
_atom_site_label
_atom_site_fract_x
_atom_site_fract_y
_atom_site_fract_z
_atom_site_occupancy
Hg1 0.0000 0.0000 0.5000 1
B1 0.5000 0.5000 0.5000 1
I1 0.0000 0.0000 0.0000 1
```


Entry from Alexandria: HgBSbI2 at its PBEsol-relaxed geometry (meta-GGA SCAN).

Its uncorrected formation energy is 1.402 eV/atom. The value obtained for the density of states at the Fermi level is 0.74 states/eV per atom.

Structure (CIF):
```
data_HgBSbI2
_cell_length_a 5.7551
_cell_length_b 5.7551
_cell_length_c 5.4940
_cell_angle_alpha 90.00
_cell_angle_beta 90.00
_cell_angle_gamma 90.00
_symmetry_space_group_name_H-M 'P 4/m m m'
_symmetry_Int_Tables_number 123
_symmetry_space_group_name_Hall '-P 4 2'
loop_
_atom_site_label
_atom_site_fract_x
_atom_site_fract_y
_atom_site_fract_z
_atom_site_occupancy
Hg1 0.0000 0.0000 0.0000 1
B1 0.5000 0.5000 0.5000 1
Sb1 0.0000 0.0000 0.5000 1
I1 0.0000 0.5000 0.0000 1
```


Entry from Alexandria: InHg2B at its PBEsol-relaxed geometry (meta-GGA SCAN).

The calculated formation energy comes out at 1.038 eV/atom. The value obtained for the density of states at the Fermi level is 0.53 states/eV per atom.

Structure (CIF):
```
data_InHg2B
_cell_length_a 6.8462
_cell_length_b 6.8462
_cell_length_c 6.8462
_cell_angle_alpha 90.00
_cell_angle_beta 90.00
_cell_angle_gamma 90.00
_symmetry_space_group_name_H-M 'F m -3 m'
_symmetry_Int_Tables_number 225
_symmetry_space_group_name_Hall '-F 4 2 3'
loop_
_atom_site_label
_atom_site_fract_x
_atom_site_fract_y
_atom_site_fract_z
_atom_site_occupancy
In1 0.0000 0.0000 0.0000 1
Hg1 0.2500 0.2500 0.2500 1
B1 0.0000 0.0000 0.5000 1
```


Entry from Alexandria: InHgB2Se at its PBEsol-relaxed geometry (meta-GGA SCAN).

Its uncorrected formation energy is 1.384 eV/atom. The value obtained for the density of states at the Fermi level is 0.67 states/eV per atom.

Structure (CIF):
```
data_InHgB2Se
_cell_length_a 4.1982
_cell_length_b 4.1982
_cell_length_c 6.1069
_cell_angle_alpha 90.00
_cell_angle_beta 90.00
_cell_angle_gamma 90.00
_symmetry_space_group_name_H-M 'P 4/m m m'
_symmetry_Int_Tables_number 123
_symmetry_space_group_name_Hall '-P 4 2'
loop_
_atom_site_label
_atom_site_fract_x
_atom_site_fract_y
_atom_site_fract_z
_atom_site_occupancy
In1 0.0000 0.0000 0.0000 1
Hg1 0.5000 0.5000 0.5000 1
B1 0.0000 0.5000 0.5000 1
Se1 0.5000 0.5000 0.0000 1
```


Entry from Alexandria: Ta2InHgB at its PBEsol-relaxed geometry (meta-GGA SCAN).

The calculated formation energy comes out at 1.823 eV/atom. The value obtained for the density of states at the Fermi level is 1.02 states/eV per atom.

Structure (CIF):
```
data_Ta2InHgB
_cell_length_a 5.1776
_cell_length_b 5.1776
_cell_length_c 3.9076
_cell_angle_alpha 90.00
_cell_angle_beta 90.00
_cell_angle_gamma 90.00
_symmetry_space_group_name_H-M 'P 4/m m m'
_symmetry_Int_Tables_number 123
_symmetry_space_group_name_Hall '-P 4 2'
loop_
_atom_site_label
_atom_site_fract_x
_atom_site_fract_y
_atom_site_fract_z
_atom_site_occupancy
Ta1 0.0000 0.5000 0.0000 1
In1 0.0000 0.0000 0.5000 1
Hg1 0.5000 0.5000 0.0000 1
B1 0.5000 0.5000 0.5000 1
```


Entry from Alexandria: HgB3Ir at its PBEsol-relaxed geometry (meta-GGA SCAN).

The calculated formation energy comes out at 2.713 eV/atom. The value obtained for the density of states at the Fermi level is 0.27 states/eV per atom.

Structure (CIF):
```
data_HgB3Ir
_cell_length_a 4.1391
_cell_length_b 4.1391
_cell_length_c 4.1391
_cell_angle_alpha 90.00
_cell_angle_beta 90.00
_cell_angle_gamma 90.00
_symmetry_space_group_name_H-M 'P m -3 m'
_symmetry_Int_Tables_number 221
_symmetry_space_group_name_Hall '-P 4 2 3'
loop_
_atom_site_label
_atom_site_fract_x
_atom_site_fract_y
_atom_site_fract_z
_atom_site_occupancy
Hg1 0.0000 0.0000 0.0000 1
B1 0.0000 0.0000 0.5000 1
Ir1 0.5000 0.5000 0.5000 1
```


Entry from Alexandria: HgBIr3 at its PBEsol-relaxed geometry (meta-GGA SCAN).

The calculated formation energy comes out at 0.306 eV/atom. The value obtained for the density of states at the Fermi level is 0.51 states/eV per atom.

Structure (CIF):
```
data_HgBIr3
_cell_length_a 4.1408
_cell_length_b 4.1408
_cell_length_c 4.1408
_cell_angle_alpha 90.00
_cell_angle_beta 90.00
_cell_angle_gamma 90.00
_symmetry_space_group_name_H-M 'P m -3 m'
_symmetry_Int_Tables_number 221
_symmetry_space_group_name_Hall '-P 4 2 3'
loop_
_atom_site_label
_atom_site_fract_x
_atom_site_fract_y
_atom_site_fract_z
_atom_site_occupancy
Hg1 0.0000 0.0000 0.0000 1
B1 0.5000 0.5000 0.5000 1
Ir1 0.0000 0.5000 0.5000 1
```


Entry from Alexandria: K3HgB at its PBEsol-relaxed geometry (meta-GGA SCAN).

The calculated formation energy comes out at 0.952 eV/atom. The value obtained for the density of states at the Fermi level is 1.08 states/eV per atom.

Structure (CIF):
```
data_K3HgB
_cell_length_a 6.3407
_cell_length_b 6.3407
_cell_length_c 6.3407
_cell_angle_alpha 90.00
_cell_angle_beta 90.00
_cell_angle_gamma 90.00
_symmetry_space_group_name_H-M 'P m -3 m'
_symmetry_Int_Tables_number 221
_symmetry_space_group_name_Hall '-P 4 2 3'
loop_
_atom_site_label
_atom_site_fract_x
_atom_site_fract_y
_atom_site_fract_z
_atom_site_occupancy
K1 0.0000 0.0000 0.5000 1
Hg1 0.0000 0.0000 0.0000 1
B1 0.5000 0.5000 0.5000 1
```


Entry from Alexandria: KHg3B at its PBEsol-relaxed geometry (meta-GGA SCAN).

The calculated formation energy comes out at 1.299 eV/atom. The value obtained for the density of states at the Fermi level is 1.18 states/eV per atom.

Structure (CIF):
```
data_KHg3B
_cell_length_a 6.2299
_cell_length_b 6.2299
_cell_length_c 6.2299
_cell_angle_alpha 90.00
_cell_angle_beta 90.00
_cell_angle_gamma 90.00
_symmetry_space_group_name_H-M 'P m -3 m'
_symmetry_Int_Tables_number 221
_symmetry_space_group_name_Hall '-P 4 2 3'
loop_
_atom_site_label
_atom_site_fract_x
_atom_site_fract_y
_atom_site_fract_z
_atom_site_occupancy
K1 0.0000 0.0000 0.0000 1
Hg1 0.0000 0.0000 0.5000 1
B1 0.5000 0.5000 0.5000 1
```


Entry from Alexandria: K2LiHgB at its PBEsol-relaxed geometry (meta-GGA SCAN).

The calculated formation energy comes out at 0.517 eV/atom. The value obtained for the density of states at the Fermi level is 0.54 states/eV per atom.

Structure (CIF):
```
data_K2LiHgB
_cell_length_a 5.9705
_cell_length_b 5.9705
_cell_length_c 4.4701
_cell_angle_alpha 90.00
_cell_angle_beta 90.00
_cell_angle_gamma 90.00
_symmetry_space_group_name_H-M 'P 4/m m m'
_symmetry_Int_Tables_number 123
_symmetry_space_group_name_Hall '-P 4 2'
loop_
_atom_site_label
_atom_site_fract_x
_atom_site_fract_y
_atom_site_fract_z
_atom_site_occupancy
K1 0.0000 0.5000 0.0000 1
Li1 0.0000 0.0000 0.5000 1
Hg1 0.5000 0.5000 0.5000 1
B1 0.0000 0.0000 0.0000 1
```


Entry from Alexandria: LaHg3B at its PBEsol-relaxed geometry (meta-GGA SCAN).

The calculated formation energy comes out at 0.138 eV/atom. The value obtained for the density of states at the Fermi level is 0.68 states/eV per atom.

Structure (CIF):
```
data_LaHg3B
_cell_length_a 4.7407
_cell_length_b 4.7407
_cell_length_c 4.7407
_cell_angle_alpha 90.00
_cell_angle_beta 90.00
_cell_angle_gamma 90.00
_symmetry_space_group_name_H-M 'P m -3 m'
_symmetry_Int_Tables_number 221
_symmetry_space_group_name_Hall '-P 4 2 3'
loop_
_atom_site_label
_atom_site_fract_x
_atom_site_fract_y
_atom_site_fract_z
_atom_site_occupancy
La1 0.0000 0.0000 0.0000 1
Hg1 0.0000 0.5000 0.5000 1
B1 0.5000 0.5000 0.5000 1
```


Entry from Alexandria: LiRe2HgB at its PBEsol-relaxed geometry (meta-GGA SCAN).

The calculated formation energy comes out at 2.349 eV/atom. The value obtained for the density of states at the Fermi level is 0.83 states/eV per atom.

Structure (CIF):
```
data_LiRe2HgB
_cell_length_a 4.1558
_cell_length_b 4.1558
_cell_length_c 4.1126
_cell_angle_alpha 90.00
_cell_angle_beta 90.00
_cell_angle_gamma 90.00
_symmetry_space_group_name_H-M 'P 4/m m m'
_symmetry_Int_Tables_number 123
_symmetry_space_group_name_Hall '-P 4 2'
loop_
_atom_site_label
_atom_site_fract_x
_atom_site_fract_y
_atom_site_fract_z
_atom_site_occupancy
Li1 0.0000 0.0000 0.0000 1
Re1 0.0000 0.5000 0.0000 1
Hg1 0.0000 0.0000 0.5000 1
B1 0.5000 0.5000 0.5000 1
```


Entry from Alexandria: MnHgBO2 at its PBEsol-relaxed geometry (meta-GGA SCAN).

Its uncorrected formation energy is 0.161 eV/atom. The value obtained for the density of states at the Fermi level is 0.36 states/eV per atom.

Structure (CIF):
```
data_MnHgBO2
_cell_length_a 3.5024
_cell_length_b 3.5024
_cell_length_c 4.6066
_cell_angle_alpha 90.00
_cell_angle_beta 90.00
_cell_angle_gamma 90.00
_symmetry_space_group_name_H-M 'P 4/m m m'
_symmetry_Int_Tables_number 123
_symmetry_space_group_name_Hall '-P 4 2'
loop_
_atom_site_label
_atom_site_fract_x
_atom_site_fract_y
_atom_site_fract_z
_atom_site_occupancy
Mn1 0.0000 0.0000 0.0000 1
Hg1 0.5000 0.5000 0.0000 1
B1 0.0000 0.0000 0.5000 1
O1 0.0000 0.5000 0.5000 1
```


Entry from Alexandria: Hg2BN at its PBEsol-relaxed geometry (meta-GGA SCAN).

Its uncorrected formation energy is 1.914 eV/atom. The value obtained for the density of states at the Fermi level is 0.27 states/eV per atom.

Structure (CIF):
```
data_Hg2BN
_cell_length_a 6.1084
_cell_length_b 6.1084
_cell_length_c 6.1084
_cell_angle_alpha 90.00
_cell_angle_beta 90.00
_cell_angle_gamma 90.00
_symmetry_space_group_name_H-M 'F m -3 m'
_symmetry_Int_Tables_number 225
_symmetry_space_group_name_Hall '-F 4 2 3'
loop_
_atom_site_label
_atom_site_fract_x
_atom_site_fract_y
_atom_site_fract_z
_atom_site_occupancy
Hg1 0.2500 0.2500 0.2500 1
B1 0.0000 0.0000 0.0000 1
N1 0.0000 0.0000 0.5000 1
```


Entry from Alexandria: Hg3BN at its PBEsol-relaxed geometry (meta-GGA SCAN).

Its uncorrected formation energy is 1.699 eV/atom. The value obtained for the density of states at the Fermi level is 0.62 states/eV per atom.

Structure (CIF):
```
data_Hg3BN
_cell_length_a 4.5818
_cell_length_b 4.5818
_cell_length_c 4.5818
_cell_angle_alpha 90.00
_cell_angle_beta 90.00
_cell_angle_gamma 90.00
_symmetry_space_group_name_H-M 'P m -3 m'
_symmetry_Int_Tables_number 221
_symmetry_space_group_name_Hall '-P 4 2 3'
loop_
_atom_site_label
_atom_site_fract_x
_atom_site_fract_y
_atom_site_fract_z
_atom_site_occupancy
Hg1 0.0000 0.0000 0.5000 1
B1 0.5000 0.5000 0.5000 1
N1 0.0000 0.0000 0.0000 1
```


Entry from Alexandria: ReHg2BN at its PBEsol-relaxed geometry (meta-GGA SCAN).

Its uncorrected formation energy is 1.818 eV/atom. The value obtained for the density of states at the Fermi level is 0.49 states/eV per atom.

Structure (CIF):
```
data_ReHg2BN
_cell_length_a 5.2443
_cell_length_b 5.2443
_cell_length_c 4.0209
_cell_angle_alpha 90.00
_cell_angle_beta 90.00
_cell_angle_gamma 90.00
_symmetry_space_group_name_H-M 'P 4/m m m'
_symmetry_Int_Tables_number 123
_symmetry_space_group_name_Hall '-P 4 2'
loop_
_atom_site_label
_atom_site_fract_x
_atom_site_fract_y
_atom_site_fract_z
_atom_site_occupancy
Re1 0.0000 0.0000 0.0000 1
Hg1 0.0000 0.5000 0.0000 1
B1 0.0000 0.0000 0.5000 1
N1 0.5000 0.5000 0.5000 1
```


Entry from Alexandria: TlHg2BN at its PBEsol-relaxed geometry (meta-GGA SCAN).

Its uncorrected formation energy is 1.557 eV/atom. The value obtained for the density of states at the Fermi level is 0.59 states/eV per atom.

Structure (CIF):
```
data_TlHg2BN
_cell_length_a 4.3581
_cell_length_b 4.3581
_cell_length_c 5.5510
_cell_angle_alpha 90.00
_cell_angle_beta 90.00
_cell_angle_gamma 90.00
_symmetry_space_group_name_H-M 'P 4/m m m'
_symmetry_Int_Tables_number 123
_symmetry_space_group_name_Hall '-P 4 2'
loop_
_atom_site_label
_atom_site_fract_x
_atom_site_fract_y
_atom_site_fract_z
_atom_site_occupancy
Tl1 0.0000 0.0000 0.0000 1
Hg1 0.0000 0.5000 0.5000 1
B1 0.5000 0.5000 0.0000 1
N1 0.0000 0.0000 0.5000 1
```


Entry from Alexandria: Na2HgB2 at its PBEsol-relaxed geometry (meta-GGA SCAN).

The calculated formation energy comes out at 0.747 eV/atom. The value obtained for the density of states at the Fermi level is 0.23 states/eV per atom.

Structure (CIF):
```
data_Na2HgB2
_cell_length_a 8.0520
_cell_length_b 8.0520
_cell_length_c 2.8353
_cell_angle_alpha 90.00
_cell_angle_beta 90.00
_cell_angle_gamma 90.00
_symmetry_space_group_name_H-M 'P 4/m b m'
_symmetry_Int_Tables_number 127
_symmetry_space_group_name_Hall '-P 4 2ab'
loop_
_atom_site_label
_atom_site_fract_x
_atom_site_fract_y
_atom_site_fract_z
_atom_site_occupancy
Na1 0.2025 0.2975 0.0000 1
Hg1 0.0000 0.0000 0.0000 1
B1 0.0696 0.5696 0.5000 1
```


Entry from Alexandria: HgB3O at its PBEsol-relaxed geometry (meta-GGA SCAN).

Its uncorrected formation energy is 1.876 eV/atom. The value obtained for the density of states at the Fermi level is 0.46 states/eV per atom.

Structure (CIF):
```
data_HgB3O
_cell_length_a 3.7241
_cell_length_b 3.7241
_cell_length_c 3.7241
_cell_angle_alpha 90.00
_cell_angle_beta 90.00
_cell_angle_gamma 90.00
_symmetry_space_group_name_H-M 'P m -3 m'
_symmetry_Int_Tables_number 221
_symmetry_space_group_name_Hall '-P 4 2 3'
loop_
_atom_site_label
_atom_site_fract_x
_atom_site_fract_y
_atom_site_fract_z
_atom_site_occupancy
Hg1 0.0000 0.0000 0.0000 1
B1 0.0000 0.5000 0.5000 1
O1 0.5000 0.5000 0.5000 1
```